(1)
LiSmZnIn (PBE, relaxed); N(E_F) = 1.50 states/eV/f.u.; space group = F-43m, No. 216; energy relative to the elements = -0.355 eV/atom; raw total energy = -3.02 eV/atom
1.0
0.0000 3.4479 3.4479
3.4479 0.0000 3.4479
3.4479 3.4479 0.0000
Li Sm Zn In
1 1 1 1
Cartesian
0.0000 0.0000 0.0000
1.7240 1.7240 1.7240
3.4479 3.4479 3.4479
5.1719 5.1719 5.1719

(2)
La5Cd3 (PBE, relaxed); ΔE to the lowest computed polymorph = 57 meV/atom; N(E_F) = 10.04 states/eV/f.u.; space group = P-62m, No. 189; energy relative to the elements = -0.183 eV/atom; raw total energy = -3.61 eV/atom
1.0
9.0683 0.0000 0.0000
-4.5341 7.8533 0.0000
0.0000 0.0000 3.5018
La Cd
5 3
Cartesian
-3.4076 5.9021 0.0000
1.1266 1.9513 0.0000
0.0000 5.2356 0.0000
4.5341 2.6178 0.0000
6.8151 0.0000 0.0000
-1.7183 2.9761 1.7509
3.4365 0.0000 1.7509
2.8159 4.8772 1.7509

(3)
Tb3YAs4 (PBE, relaxed); ΔE to the lowest computed polymorph = 0 meV/atom; N(E_F) = 0.71 states/eV/f.u.; space group = Pm-3m, No. 221; energy relative to the elements = -1.549 eV/atom; raw total energy = -6.42 eV/atom
1.0
5.8441 0.0000 0.0000
0.0000 5.8441 0.0000
0.0000 0.0000 5.8441
Tb Y As
3 1 4
Cartesian
0.0000 0.0000 2.9220
0.0000 2.9220 0.0000
2.9220 0.0000 0.0000
2.9220 2.9220 2.9220
0.0000 0.0000 0.0000
0.0000 2.9220 2.9220
2.9220 0.0000 2.9220
2.9220 2.9220 0.0000

(4)
HoTm4Mg5 (PBE, relaxed); N(E_F) = 13.83 states/eV/f.u.; space group = P4/mmm, No. 123; energy relative to the elements = -0.061 eV/atom; raw total energy = -3.11 eV/atom
1.0
3.7612 0.0000 0.0000
0.0000 3.7612 0.0000
0.0000 0.0000 18.7519
Ho Tm Mg
1 4 5
Cartesian
0.0000 0.0000 0.0000
0.0000 0.0000 3.7661
0.0000 0.0000 7.5074
0.0000 0.0000 11.2444
0.0000 0.0000 14.9858
1.8806 1.8806 1.8989
1.8806 1.8806 5.6372
1.8806 1.8806 9.3759
1.8806 1.8806 13.1147
1.8806 1.8806 16.8529

(5)
RbTe2H (PBE, relaxed); ΔE to the lowest computed polymorph = 0 meV/atom; space group = P2/c, No. 13; raw total energy = -2.98 eV/atom
1.0
7.8500 0.0000 0.0000
0.0000 7.6718 0.0000
-2.3098 0.0000 10.2474
Rb Te H
4 8 4
Cartesian
0.7872 1.4305 5.0067
-0.3677 6.2414 10.1304
5.9080 1.4305 0.1170
4.7531 6.2414 5.2406
-0.2904 2.2217 9.7127
0.8645 5.4501 4.5890
1.5944 3.5006 2.0814
0.4395 4.1712 7.2051
5.1008 3.5006 3.0422
3.9459 4.1712 8.1659
4.6757 2.2217 5.6584
5.8306 5.4501 0.5347
-1.1003 3.6353 6.6679
0.0546 4.0365 1.5442
5.4857 3.6353 8.7031
6.6406 4.0365 3.5795

(6)
MnSiH2 (PBE, relaxed); ΔE to the lowest computed polymorph = 339 meV/atom; N(E_F) = 1.70 states/eV/f.u.; space group = Fm-3m, No. 225; raw total energy = -4.64 eV/atom
1.0
0.0000 2.5950 2.5950
2.5950 0.0000 2.5950
2.5950 2.5950 0.0000
Mn Si H
1 1 2
Cartesian
0.0000 0.0000 0.0000
2.5950 2.5950 2.5950
1.2975 1.2975 1.2975
3.8925 3.8925 3.8925

(7)
BaFeNi3 (PBE, relaxed); ΔE to the lowest computed polymorph = 1948 meV/atom; N(E_F) = 11.34 states/eV/f.u.; space group = Pm-3m, No. 221; energy relative to the elements = 2.440 eV/atom; raw total energy = -3.11 eV/atom
1.0
4.8318 0.0000 0.0000
0.0000 4.8318 0.0000
0.0000 0.0000 4.8318
Ba Fe Ni
1 1 3
Cartesian
0.0000 0.0000 0.0000
2.4159 2.4159 2.4159
0.0000 0.0000 2.4159
0.0000 2.4159 0.0000
2.4159 0.0000 0.0000

(8)
SrHf2Sb2 (PBE, relaxed); ΔE to the lowest computed polymorph = 189 meV/atom; N(E_F) = 3.33 states/eV/f.u.; space group = P4/mbm, No. 127; raw total energy = -6.31 eV/atom
1.0
8.2993 0.0000 0.0000
0.0000 8.2993 0.0000
0.0000 0.0000 3.7637
Sr Hf Sb
2 4 4
Cartesian
0.0000 0.0000 0.0000
4.1497 4.1497 0.0000
1.1286 3.0211 1.8818
3.0211 7.1708 1.8818
5.2782 1.1286 1.8818
7.1708 5.2782 1.8818
1.2138 5.3635 0.0000
2.9359 1.2138 0.0000
5.3635 7.0855 0.0000
7.0855 2.9359 0.0000